A plane-wave DFT calculation with GGA-PBE was carried out for an optimized crystal structure of Os2RuPb.

It has space group Cmmm (No. 65), with a = 2.8542 Å, b = 4.9095 Å, c = 10.0150 Å, α = 90.00°, β = 90.00° and γ = 90.00°. The distinct sites, in fractional coordinates, are Os at (0.0000, 0.0000, 0.2183), Ru at (0.0000, 0.5000, 0.0000) and Pb at (0.0000, 0.5000, 0.5000).

The calculation puts the energy at -0.285 hartree per atom. The formation energy is 1.11 eV/atom.